Entry from the Alexandria database: Ni3GeH after structural relaxation (PBE-GGA).

abc: 6.310 4.650 6.809
angles: 90.00 100.11 90.00
Space group P2_1/c (No. 14)
Inequivalent atoms, fractional coordinates:
Ni 0.062 0.085 0.184
Ni 0.200 0.580 0.062
Ni 0.326 0.110 0.926
Ge 0.411 0.621 0.805
H 0.059 0.236 0.931

## Properties
- Magnetic moment: 0.000 μB per cell
- DOS at the Fermi energy: 12.0 states/eV per cell
- Total DFT energy (no corrections): -103.267 eV/cell


Entry from the Alexandria database: Ni2GeH after structural relaxation (PBE-GGA).

abc: 7.391 2.817 7.641
angles: 90.00 90.00 90.00
Space group Pnma (No. 62)
Inequivalent atoms, fractional coordinates:
Ni 0.102 0.250 0.211
Ni 0.135 0.250 0.578
Ge 0.165 0.250 0.894
H 0.004 0.750 0.600

## Properties
- Magnetic moment: 0.000 μB per cell
- DOS at the Fermi energy: 5.6 states/eV per cell
- Total DFT energy (no corrections): -80.373 eV/cell


Entry from the Alexandria database: Ni3GeH after structural relaxation (PBE-GGA).

abc: 9.592 8.415 5.214
angles: 90.00 105.78 90.00
Space group C2/c (No. 15)
Inequivalent atoms, fractional coordinates:
Ni 0.141 0.194 0.069
Ni 0.141 0.195 0.570
Ni 0.192 0.498 0.096
Ge 0.000 0.005 0.250
Ge 0.000 0.383 0.750
H 0.176 0.350 0.337

## Properties
- Magnetic moment: 0.000 μB per cell
- DOS at the Fermi energy: 22.7 states/eV per cell
- Total DFT energy (no corrections): -207.357 eV/cell


Entry from the Alexandria database: NiGeH after structural relaxation (PBE-GGA).

abc: 6.233 4.729 4.529
angles: 90.00 107.62 90.00
Space group P2_1/c (No. 14)
Inequivalent atoms, fractional coordinates:
Ni 0.213 0.064 0.132
Ge 0.350 0.547 0.188
H 0.001 0.629 0.669

## Properties
- Magnetic moment: 0.000 μB per cell
- DOS at the Fermi energy: 2.4 states/eV per cell
- Total DFT energy (no corrections): -55.348 eV/cell


Entry from the Alexandria database: Ni5Ge2H2 after structural relaxation (PBE-GGA).

abc: 3.569 3.603 7.094
angles: 90.00 90.19 90.00
Space group P2/m (No. 10)
Inequivalent atoms, fractional coordinates:
Ni 0.000 0.000 0.000
Ni 0.000 0.500 0.260
Ni 0.499 0.000 0.735
Ge 0.500 0.500 0.000
Ge 0.500 0.500 0.500
H 0.001 0.000 0.264

## Properties
- Magnetic moment: 0.000 μB per cell
- DOS at the Fermi energy: 3.7 states/eV per cell
- Total DFT energy (no corrections): -46.587 eV/cell


Entry from the Alexandria database: Ni8GeH2 after structural relaxation (PBE-GGA).

abc: 6.273 9.405 3.835
angles: 90.00 105.35 90.00
Space group C2/m (No. 12)
Inequivalent atoms, fractional coordinates:
Ni 0.000 0.248 0.000
Ni 0.112 0.000 0.806
Ni 0.203 0.370 0.588
Ge 0.000 0.500 0.000
H 0.000 0.134 0.500

## Properties
- Magnetic moment: 3.622 μB per cell
- DOS at the Fermi energy: 25.7 states/eV per cell
- Total DFT energy (no corrections): -113.508 eV/cell